! Sm2AlNiO6 | Alexandria | PBE+U | optimized geometry; values from VASP
! Total magnetic moment, μB/f.u.: 3.0
! Calculated total energy, eV/atom: -7.192
&SYSTEM
  ibrav = 0, nat = 20, ntyp = 4
/
ATOMIC_SPECIES
Sm 150.36 Sm.upf
Al 26.98 Al.upf
Ni 58.69 Ni.upf
O 16.00 O.upf
CELL_PARAMETERS angstrom
5.349 0.000 -0.012
0.000 5.503 0.000
0.029 0.000 7.596
ATOMIC_POSITIONS crystal
Sm 0.013 0.948 0.250
Sm 0.513 0.552 0.750
Sm 0.987 0.052 0.750
Sm 0.487 0.448 0.250
Al 0.500 0.000 0.500
Al 0.000 0.500 0.000
Ni 0.500 0.000 0.000
Ni 0.000 0.500 0.500
O 0.285 0.701 0.044
O 0.785 0.799 0.544
O 0.715 0.299 0.956
O 0.215 0.201 0.456
O 0.297 0.713 0.455
O 0.797 0.787 0.955
O 0.703 0.287 0.545
O 0.203 0.213 0.045
O 0.916 0.521 0.245
O 0.416 0.979 0.745
O 0.084 0.479 0.755
O 0.584 0.021 0.255